# SiHgPd2

An optimized crystal structure of SiHgPd2 (PBE, Alexandria).

a b c (Å): 4.529 4.529 4.529
angles (deg): 60.00 60.00 60.00
Fractional positions:
Si 0.000 0.000 0.000
Hg 0.500 0.500 0.500
Pd 0.250 0.250 0.250
Pd 0.750 0.750 0.750

ΔE to the lowest computed polymorph: 214.1 meV/atom
Energy relative to the elements, uncorrected: -12.15 kJ/mol of atoms
Space group: No. 225
Crystal system: cubic
Total magnetic moment: 0.0 μB per cell